1.
Computed, not measured: an optimized crystal structure of La2Dy8Tl at the PBE level of DFT.

a = 18.206 Å, b = 4.989 Å, c = 7.915 Å
α = 90.00°, β = 105.09°, γ = 90.00°
Space group C2/m (No. 12)
Unique sites:
La1 0.220 0.000 0.132
Dy1 0.043 0.000 0.224
Dy2 0.088 0.500 0.942
Dy3 0.134 0.000 0.673
Dy4 0.179 0.500 0.407
Tl1 0.000 0.500 0.500

Summary:
The formation energy comes out at -2 kJ/mol of atoms. The calculated total energy is -49.29 eV per formula unit. The calculation puts the density of states at the Fermi level at 16.525 states/eV/f.u.

---

2.
Computed, not measured: an optimized crystal structure of CsPu2AgS4 at the PBE level of DFT.

a = 4.164 Å, b = 14.074 Å, c = 14.266 Å
α = 90.00°, β = 90.00°, γ = 90.00°
Space group Cmcm (No. 63)
Unique sites:
Cs1 0.000 0.111 0.250
Pu1 0.000 0.368 0.061
Ag1 0.000 0.167 0.750
S1 0.000 0.000 0.000
S2 0.000 0.256 0.597
S3 0.000 0.429 0.250

Summary:
The calculation puts the formation energy from raw total energies at -1021 kJ/mol of formula units. The calculated total energy is -59.46 eV per formula unit. The calculation puts the density of states at the Fermi level at 19.249 states/eV/f.u.

---

3.
Computed, not measured: an optimized crystal structure of Ca2AsPdPb at the PBE level of DFT.

a = 5.453 Å, b = 5.453 Å, c = 5.534 Å
α = 90.00°, β = 90.00°, γ = 90.00°
Space group P4/mmm (No. 123)
Unique sites:
Ca1 0.000 0.500 0.000
As1 0.000 0.000 0.000
Pd1 0.500 0.500 0.500
Pb1 0.000 0.000 0.500

Summary:
The formation energy comes out at -10 kJ/mol of atoms. The calculated total energy is -18.08 eV per formula unit. The calculation puts the density of states at the Fermi level at 3.046 states/eV/f.u.

---

4.
Computed, not measured: an optimized crystal structure of Tb4Sm at the PBE level of DFT.

a = 5.661 Å, b = 5.661 Å, c = 5.661 Å
α = 90.00°, β = 90.00°, γ = 90.00°
Space group Pm-3m (No. 221)
Unique sites:
Tb1 0.000 0.000 0.000
Tb2 0.000 0.500 0.500
Sm1 0.500 0.500 0.500

Summary:
The formation energy comes out at 65 kJ/mol of atoms. The calculated total energy is -19.89 eV per formula unit. The calculation puts the density of states at the Fermi level at 7.871 states/eV/f.u.